! Pm3SnN, relaxed, DFT GGA-PBE; values from VASP
! crystal system: cubic
! formation energy without anion corrections: -22.91 kcal/mol of atoms
! M_tot: 0.000 μB per atom
&SYSTEM
  ibrav = 0, nat = 5, ntyp = 3
/
ATOMIC_SPECIES
Pm 145.00 Pm.upf
Sn 118.71 Sn.upf
N 14.01 N.upf
ATOMIC_POSITIONS crystal
Pm 0.000 0.000 0.500
Pm 0.000 0.500 0.000
Pm 0.500 0.000 0.000
Sn 0.500 0.500 0.500
N 0.000 0.000 0.000
CELL_PARAMETERS angstrom
4.966 0.000 0.000
0.000 4.966 0.000
0.000 0.000 4.966


! Nd2MnZnSe5, relaxed, DFT GGA-PBE; values from VASP
! crystal system: orthorhombic
! formation energy without anion corrections: -29.32 kcal/mol of atoms
! M_tot: 0.556 μB per atom
&SYSTEM
  ibrav = 0, nat = 18, ntyp = 4
/
ATOMIC_SPECIES
Nd 144.24 Nd.upf
Mn 54.94 Mn.upf
Zn 65.41 Zn.upf
Se 78.96 Se.upf
ATOMIC_POSITIONS crystal
Nd 0.114 0.886 0.500
Nd 0.131 0.869 0.116
Nd 0.869 0.131 0.616
Nd 0.886 0.114 0.000
Mn 0.204 0.796 0.826
Mn 0.796 0.204 0.326
Zn 0.437 0.563 0.272
Zn 0.563 0.437 0.772
Se 0.048 0.952 0.881
Se 0.287 0.713 0.475
Se 0.309 0.691 0.166
Se 0.354 0.646 0.812
Se 0.498 0.502 0.593
Se 0.502 0.498 0.093
Se 0.646 0.354 0.312
Se 0.691 0.309 0.666
Se 0.713 0.287 0.975
Se 0.952 0.048 0.381
CELL_PARAMETERS angstrom
2.030 -8.768 0.000
2.030 8.768 0.000
0.000 0.000 11.995


! LiNd2Rh3O8, relaxed, DFT GGA-PBE; values from VASP
! crystal system: trigonal
! formation energy without anion corrections: -40.04 kcal/mol of atoms
! M_tot: 0.000 μB per atom
&SYSTEM
  ibrav = 0, nat = 14, ntyp = 4
/
ATOMIC_SPECIES
Li 6.94 Li.upf
Nd 144.24 Nd.upf
Rh 102.91 Rh.upf
O 16.00 O.upf
ATOMIC_POSITIONS crystal
Li 0.000 0.000 0.000
Nd 0.334 0.334 0.334
Nd 0.819 0.819 0.819
Rh 0.352 0.352 0.843
Rh 0.352 0.843 0.352
Rh 0.843 0.352 0.352
O 0.081 0.081 0.585
O 0.081 0.585 0.081
O 0.122 0.122 0.122
O 0.162 0.585 0.585
O 0.575 0.575 0.575
O 0.585 0.081 0.081
O 0.585 0.162 0.585
O 0.585 0.585 0.162
CELL_PARAMETERS angstrom
3.236 1.868 5.432
-3.236 1.868 5.432
0.000 -3.736 5.432


! Sr2TlPdO4, relaxed, DFT GGA-PBE; values from VASP
! crystal system: tetragonal
! formation energy without anion corrections: -35.64 kcal/mol of atoms
! M_tot: 0.000 μB per atom
&SYSTEM
  ibrav = 0, nat = 8, ntyp = 4
/
ATOMIC_SPECIES
Sr 87.62 Sr.upf
Tl 204.38 Tl.upf
Pd 106.42 Pd.upf
O 16.00 O.upf
ATOMIC_POSITIONS crystal
Sr 0.000 0.000 0.000
Sr 0.750 0.250 0.500
Tl 0.250 0.750 0.500
Pd 0.500 0.500 0.000
O 0.251 0.708 0.956
O 0.292 0.248 0.542
O 0.706 0.749 0.458
O 0.752 0.294 0.044
CELL_PARAMETERS angstrom
-3.114 3.114 3.388
3.114 -3.114 3.388
3.114 3.114 -3.388


! BaDyZrN3, relaxed, DFT GGA-PBE; values from VASP
! crystal system: monoclinic
! formation energy without anion corrections: -25.90 kcal/mol of atoms
! M_tot: 0.000 μB per atom
&SYSTEM
  ibrav = 0, nat = 12, ntyp = 4
/
ATOMIC_SPECIES
Ba 137.33 Ba.upf
Dy 162.50 Dy.upf
Zr 91.22 Zr.upf
N 14.01 N.upf
ATOMIC_POSITIONS crystal
Ba 0.008 0.250 0.213
Ba 0.992 0.750 0.787
Dy 0.466 0.750 0.133
Dy 0.534 0.250 0.867
Zr 0.342 0.750 0.565
Zr 0.658 0.250 0.435
N 0.211 0.250 0.639
N 0.297 0.250 0.006
N 0.370 0.750 0.361
N 0.630 0.250 0.639
N 0.703 0.750 0.994
N 0.789 0.750 0.361
CELL_PARAMETERS angstrom
6.541 0.000 0.000
0.000 3.501 0.000
-3.191 0.000 9.255


! LiPrThTe3, relaxed, DFT GGA-PBE; values from VASP
! crystal system: monoclinic
! formation energy without anion corrections: -27.21 kcal/mol of atoms
! M_tot: 0.000 μB per atom
&SYSTEM
  ibrav = 0, nat = 12, ntyp = 4
/
ATOMIC_SPECIES
Li 6.94 Li.upf
Pr 140.91 Pr.upf
Th 232.04 Th.upf
Te 127.60 Te.upf
ATOMIC_POSITIONS crystal
Li 0.083 0.250 0.093
Li 0.917 0.750 0.907
Pr 0.186 0.250 0.737
Pr 0.814 0.750 0.263
Th 0.355 0.750 0.364
Th 0.645 0.250 0.636
Te 0.097 0.250 0.381
Te 0.221 0.750 0.010
Te 0.428 0.750 0.711
Te 0.572 0.250 0.289
Te 0.779 0.250 0.990
Te 0.903 0.750 0.619
CELL_PARAMETERS angstrom
9.416 0.000 0.000
0.000 4.218 0.000
-2.732 0.000 9.254


! InCuTc2, relaxed, DFT GGA-PBE; values from VASP
! crystal system: trigonal
! M_tot: 0.000 μB per atom
! energy of formation: 0.493 eV per atom
&SYSTEM
  ibrav = 0, nat = 4, ntyp = 3
/
ATOMIC_SPECIES
In 114.82 In.upf
Cu 63.55 Cu.upf
Tc 98.00 Tc.upf
ATOMIC_POSITIONS crystal
In 0.000 0.000 0.000
Cu 0.500 0.500 0.500
Tc 0.245 0.245 0.245
Tc 0.755 0.755 0.755
CELL_PARAMETERS angstrom
1.424 0.822 8.929
-1.424 0.822 8.929
0.000 -1.644 8.929


! LaAlCuAu, relaxed, DFT GGA-PBE; values from VASP
! crystal system: cubic
! M_tot: 0.000 μB per atom
! energy of formation: -0.418 eV per atom
&SYSTEM
  ibrav = 0, nat = 4, ntyp = 4
/
ATOMIC_SPECIES
La 138.91 La.upf
Al 26.98 Al.upf
Cu 63.55 Cu.upf
Au 196.97 Au.upf
ATOMIC_POSITIONS crystal
La 0.000 0.000 0.000
Al 0.500 0.500 0.500
Cu 0.250 0.250 0.250
Au 0.750 0.750 0.750
CELL_PARAMETERS angstrom
0.000 3.466 3.466
3.466 0.000 3.466
3.466 3.466 0.000


- The highest M_tot belongs to which entry?
  Nd2MnZnSe5


- Among the records above, which one has the highest M_tot?
  Nd2MnZnSe5


- What is the formula in the second record?
  Nd2MnZnSe5


- The highest M_tot belongs to which entry?
  Nd2MnZnSe5